This record from the Alexandria database describes a relaxed GaAg5O4 crystal. The functional is PBE-GGA.

The structure belongs to space group C2/m (No. 12); the cell edges are 13.3449, 3.1221 and 6.6692 Å and the angles 90.00°, 102.75° and 90.00°. Symmetry generates all atoms from Ga at (0.0000, 0.0000, 0.0000), Ag at (0.0000, 0.0000, 0.5000), Ag at (0.1727, 0.5000, 0.3718), Ag at (0.1779, 0.5000, 0.8113), O at (0.0105, 0.5000, 0.7988) and O at (0.1507, 0.0000, 0.0956).

As for the uncorrected formation energy: -406.9 meV per atom. For the total energy, the calculation gives -4.1185 eV/atom. The value obtained for the volume is 13.55 A^3/atom.

=====

This record from the Alexandria database describes a relaxed GaAgO crystal. The functional is PBE-GGA.

The structure belongs to space group Amm2 (No. 38); the cell edges are 10.7054, 2.9408 and 5.2143 Å and the angles 90.00°, 90.00° and 90.00°. Symmetry generates all atoms from Ga at (0.0000, 0.0000, 0.0000), Ga at (0.5000, 0.0000, 0.1222), Ag at (0.2024, 0.0000, 0.3361) and O at (0.3895, 0.0000, 0.7957).

As for the uncorrected formation energy: -632.0 meV per atom. For the total energy, the calculation gives -4.2441 eV/atom. The value obtained for the volume is 13.68 A^3/atom.

=====

This record from the Alexandria database describes a relaxed GaAgO2 crystal. The functional is PBE-GGA.

The structure belongs to space group Pna2_1 (No. 33); the cell edges are 5.6290, 7.2299 and 5.5910 Å and the angles 90.00°, 90.00° and 90.00°. Symmetry generates all atoms from Ga at (0.0624, 0.1246, 0.0000), Ag at (0.0511, 0.6301, 0.9972), O at (0.0403, 0.0812, 0.3288) and O at (0.1180, 0.6662, 0.4239).

As for the uncorrected formation energy: -1162.9 meV per atom. For the total energy, the calculation gives -5.1115 eV/atom. The value obtained for the volume is 14.22 A^3/atom.

=====

This record from the Alexandria database describes a relaxed GaAgO2 crystal. The functional is PBE-GGA.

The structure belongs to space group P6_3/mmc (No. 194); the cell edges are 3.0374, 3.0374 and 12.5721 Å and the angles 90.00°, 90.00° and 120.00°. Symmetry generates all atoms from Ga at (0.0000, 0.0000, 0.0000), Ag at (0.3333, 0.6667, 0.2500) and O at (0.3333, 0.6667, 0.0805).

As for the uncorrected formation energy: -1230.8 meV per atom. For the total energy, the calculation gives -5.1795 eV/atom. The value obtained for the volume is 12.56 A^3/atom.

=====

Question: What is the uncorrected formation energy in the second record?
Answer: -632.0 meV per atom